# CdTeCl (PBE, relaxed)
data_CdTeCl
_chemical_formula_sum 'Cd1 Te1 Cl1'
_space_group_name_H-M_alt 'P -6 m 2'
_space_group_IT_number 187
_space_group_name_Hall 'P -6 2'
_cell_length_a 5.0475
_cell_length_b 5.0475
_cell_length_c 3.5091
_cell_angle_alpha 90.00
_cell_angle_beta 90.00
_cell_angle_gamma 120.00
loop_
_atom_site_label
_atom_site_fract_x
_atom_site_fract_y
_atom_site_fract_z
_atom_site_occupancy
Cd1 0.0000 0.0000 0.0000 1
Te1 0.3333 0.6667 0.0000 1
Cl1 0.6667 0.3333 0.5000 1
# * theoretical density: 5.908 g/cm³
# * energy: -2.18 eV per atom
# * formation energy from raw total energies: -0.6 eV/f.u.


# LaTe3W (PBE, relaxed)
data_LaTe3W
_chemical_formula_sum 'La1 Te3 W1'
_space_group_name_H-M_alt 'P m -3 m'
_space_group_IT_number 221
_space_group_name_Hall '-P 4 2 3'
_cell_length_a 6.089
_cell_length_b 6.089
_cell_length_c 6.089
_cell_angle_alpha 90.00
_cell_angle_beta 90.00
_cell_angle_gamma 90.00
loop_
_atom_site_label
_atom_site_fract_x
_atom_site_fract_y
_atom_site_fract_z
_atom_site_occupancy
La1 0.000 0.000 0.000 1
Te1 0.000 0.000 0.500 1
W1 0.500 0.500 0.500 1
# * theoretical density: 5.189 g/cm³
# * energy: -4.35 eV per atom
# * formation energy from raw total energies: 5.5 eV/f.u.


Which value of energy does entry 2 give?
-4.35 eV per atom